5
Lattice="-2.624 -2.247 2.422 -2.865 -1.421 -4.422 2.452 -3.397 -0.496" Properties=species:S:1:pos:R:3 comment="MoOs2ClO, relaxed, DFT GGA+U" dft_energy_ev_per_atom=-5.000 vol_a3_per_cell=97.1 mass_density_g_cm3=9.02 pbc="T T T"
Os -1.312 -1.124 1.211
Os 1.226 -1.699 -0.248
Mo -1.432 -0.711 -2.211
Cl 0.000 0.000 0.000
O -1.518 -3.533 -1.248